No. 1
4
Lattice="4.494 0.000 0.000 0.000 4.494 0.000 0.000 0.000 2.837" Properties=species:S:1:pos:R:3 comment="BeAl2W PBE relaxed" total_magnetization_mub_per_cell=0.0 space_group="P4/mmm, No. 123" formation_energy_ev_per_fu=0.7 energy_ev_per_atom=-5.859 pbc="T T T"
Be 0.000 0.000 0.000
Al 0.000 2.247 1.419
Al 2.247 0.000 1.419
W 2.247 2.247 0.000



No. 2
12
Lattice="3.711 0.000 0.000 -1.855 3.214 0.000 0.000 0.000 22.545" Properties=species:S:1:pos:R:3 comment="Ag3Br PBE relaxed" total_magnetization_mub_per_cell=0.0 raw_formation_energy_kj_per_mol_fu=38 space_group="R-3m, No. 166" de_polymorph_ev_per_atom=0.116 energy_ev_per_atom=-2.458 pbc="T T T"
Ag 0.000 0.000 0.000
Ag 0.000 0.000 5.725
Ag 0.000 0.000 16.820
Ag 0.000 2.142 9.305
Ag 0.000 2.142 15.030
Ag 0.000 2.142 20.754
Ag 1.855 1.071 1.790
Ag 1.855 1.071 7.515
Ag 1.855 1.071 13.240
Br 0.000 0.000 11.272
Br 0.000 2.142 3.757
Br 1.855 1.071 18.787



No. 3
18
Lattice="-4.322 4.322 7.691 4.322 -4.322 7.691 4.322 4.322 -7.691" Properties=species:S:1:pos:R:3 comment="Nd2SmErTm5 PBE relaxed" total_magnetization_mub_per_cell=0.0 space_group="I4/mcm, No. 140" formation_energy_ev_per_fu=2.4 energy_ev_per_atom=-4.305 pbc="T T T"
Nd 5.333 1.011 0.000
Nd 1.011 3.312 0.000
Nd 3.312 1.011 7.691
Nd -1.011 3.312 7.691
Sm 0.000 0.000 3.846
Sm 0.000 0.000 11.537
Er 4.322 0.000 3.846
Er 0.000 4.322 3.846
Tm 0.000 0.000 0.000
Tm 2.494 1.829 -2.138
Tm 2.494 -1.829 5.553
Tm 2.494 1.829 2.138
Tm 2.494 -1.829 9.830
Tm 0.000 0.000 7.691
Tm 1.829 6.151 -2.138
Tm 1.829 2.494 5.553
Tm 1.829 6.151 2.138
Tm 1.829 2.494 9.830



No. 4
11
Lattice="-2.225 3.724 6.444 2.225 -3.724 6.444 2.225 3.724 -6.444" Properties=species:S:1:pos:R:3 comment="Cd8Pd2Rh PBE relaxed" total_magnetization_mub_per_cell=0.0 space_group="Immm, No. 71" formation_energy_ev_per_fu=-2.3 energy_ev_per_atom=-2.485 pbc="T T T"
Cd 2.225 2.118 -1.914
Cd 0.000 0.000 1.908
Cd 0.000 2.274 0.000
Cd 2.225 2.118 1.914
Cd 0.000 1.605 4.530
Cd 0.000 5.173 0.000
Cd 0.000 0.000 10.980
Cd 0.000 1.605 8.358
Pd 2.225 0.000 3.835
Pd 0.000 3.724 2.609
Rh 2.225 0.000 0.000



No. 5
16
Lattice="6.943 0.000 0.000 0.000 6.943 0.000 0.000 0.000 8.061" Properties=species:S:1:pos:R:3 comment="SrLi2PSe4 PBE relaxed" total_magnetization_mub_per_cell=0.0 raw_formation_energy_kj_per_mol_fu=-732 space_group="I-42m, No. 121" energy_ev_per_atom=-4.056 pbc="T T T"
Sr 0.000 0.000 0.000
Sr 3.472 3.472 4.031
Li 0.000 3.472 2.015
Li 0.000 3.472 6.046
Li 3.472 0.000 2.015
Li 3.472 0.000 6.046
P 0.000 0.000 4.031
P 3.472 3.472 0.000
Se 1.368 1.368 2.669
Se 1.368 5.576 5.392
Se 2.104 2.104 6.700
Se 2.104 4.839 1.361
Se 4.839 2.104 1.361
Se 4.839 4.839 6.700
Se 5.576 1.368 5.392
Se 5.576 5.576 2.669



No. 6
9
Lattice="6.472 -3.623 0.000 6.472 3.623 0.000 -6.241 0.000 6.501" Properties=species:S:1:pos:R:3 comment="Ba2ZnBi6 PBE relaxed" total_magnetization_mub_per_cell=0.0 space_group="C2/m, No. 12" formation_energy_ev_per_fu=-3.4 energy_ev_per_atom=-3.536 pbc="T T T"
Ba -1.236 0.000 2.015
Ba 7.939 0.000 4.486
Zn 3.352 0.000 3.250
Bi 2.055 1.773 1.203
Bi 1.055 0.000 4.991
Bi 2.055 -1.773 1.203
Bi 4.648 1.773 5.298
Bi 5.648 0.000 1.510
Bi 4.648 -1.773 5.298



No. 7
10
Lattice="6.085 0.000 0.000 -1.019 6.011 0.000 -3.024 -2.572 8.401" Properties=species:S:1:pos:R:3 comment="TbHo7Er2 PBE relaxed" total_magnetization_mub_per_cell=0.0 space_group="P-1, No. 2" de_polymorph_ev_per_atom=0.000 formation_energy_ev_per_fu=0.2 energy_ev_per_atom=-4.559 pbc="T T T"
Tb 0.000 0.000 0.000
Ho -2.022 1.719 4.201
Ho -2.013 0.692 7.559
Ho -1.006 3.954 6.715
Ho 1.016 2.234 2.524
Ho 1.026 1.204 5.877
Ho 3.048 -0.515 1.686
Ho 4.054 2.747 0.842
Er 0.008 -1.029 3.363
Er 2.034 4.467 5.038



No. 8
11
Lattice="10.745 0.000 0.000 0.000 2.885 6.065 0.000 -2.885 6.065" Properties=species:S:1:pos:R:3 comment="Tb4Nd3Sm4 PBE relaxed" total_magnetization_mub_per_cell=0.0 space_group="Amm2, No. 38" de_polymorph_ev_per_atom=0.000 formation_energy_ev_per_fu=1.7 energy_ev_per_atom=-4.549 pbc="T T T"
Tb 0.000 0.000 0.000
Tb 2.154 0.000 5.931
Tb 5.373 0.000 11.403
Tb 8.591 0.000 5.931
Nd 2.219 0.000 9.623
Nd 5.373 0.000 7.764
Nd 8.526 0.000 9.623
Sm 0.000 0.000 3.294
Sm 3.097 0.000 1.678
Sm 5.373 0.000 4.183
Sm 7.648 0.000 1.678